(1)
# Au2Cl6F | Alexandria via LeMat-Bulk | PBE | optimized geometry
data_Au2Cl6F
_chemical_formula_sum 'Au4 Cl12 F2'
_space_group_name_H-M_alt 'P 1'
_space_group_IT_number 1
_cell_length_a 11.714
_cell_length_b 7.570
_cell_length_c 7.570
_cell_angle_alpha 75.89
_cell_angle_beta 74.18
_cell_angle_gamma 74.18
loop_
_space_group_symop_operation_xyz
'x,y,z'
loop_
_atom_site_label
_atom_site_fract_x
_atom_site_fract_y
_atom_site_fract_z
_atom_site_occupancy
Cl1 0.893 0.861 0.429 1
Cl2 0.393 0.429 0.861 1
Cl3 0.938 0.689 0.846 1
Cl4 0.562 0.154 0.311 1
Cl5 0.202 0.582 0.226 1
Cl6 0.438 0.846 0.689 1
Cl7 0.702 0.226 0.582 1
Cl8 0.298 0.774 0.418 1
Cl9 0.107 0.139 0.571 1
Cl10 0.798 0.418 0.774 1
Cl11 0.607 0.571 0.139 1
Cl12 0.062 0.311 0.154 1
Au1 0.820 0.953 0.709 1
Au2 0.320 0.709 0.953 1
Au3 0.180 0.047 0.291 1
Au4 0.680 0.291 0.047 1
F1 0.250 0.976 0.024 1
F2 0.750 0.024 0.976 1
# * uncorrected energy: -43.861 eV/cell



(2)
# AuCl6F2 | Alexandria via LeMat-Bulk | PBE | optimized geometry
data_AuCl6F2
_chemical_formula_sum 'Au1 Cl6 F2'
_space_group_name_H-M_alt 'P 1'
_space_group_IT_number 1
_cell_length_a 4.184
_cell_length_b 8.477
_cell_length_c 7.881
_cell_angle_alpha 101.99
_cell_angle_beta 87.57
_cell_angle_gamma 114.90
loop_
_space_group_symop_operation_xyz
'x,y,z'
loop_
_atom_site_label
_atom_site_fract_x
_atom_site_fract_y
_atom_site_fract_z
_atom_site_occupancy
Au1 0.000 0.000 0.000 1
Cl1 0.197 0.379 0.678 1
Cl2 0.041 0.803 0.535 1
Cl3 0.803 0.621 0.322 1
Cl4 0.822 0.698 0.930 1
Cl5 0.178 0.302 0.070 1
Cl6 0.959 0.197 0.465 1
F1 0.330 0.024 0.810 1
F2 0.670 0.976 0.190 1
# * uncorrected energy: -20.872 eV/cell



(3)
# AuClF3 | Alexandria via LeMat-Bulk | PBE | optimized geometry
data_AuClF3
_chemical_formula_sum 'Au2 Cl2 F6'
_space_group_name_H-M_alt 'P 1'
_space_group_IT_number 1
_cell_length_a 4.101
_cell_length_b 8.402
_cell_length_c 10.314
_cell_angle_alpha 132.98
_cell_angle_beta 108.15
_cell_angle_gamma 65.01
loop_
_space_group_symop_operation_xyz
'x,y,z'
loop_
_atom_site_label
_atom_site_fract_x
_atom_site_fract_y
_atom_site_fract_z
_atom_site_occupancy
F1 0.843 0.734 0.701 1
F2 0.232 0.235 0.718 1
F3 0.136 0.065 0.336 1
F4 0.508 0.393 0.540 1
F5 0.860 0.907 0.514 1
F6 0.526 0.565 0.354 1
Cl1 0.560 0.532 0.948 1
Cl2 0.808 0.768 0.107 1
Au1 0.382 0.899 0.537 1
Au2 0.986 0.401 0.518 1
# * uncorrected energy: -28.809 eV/cell



(4)
# AuClF3 | Alexandria via LeMat-Bulk | PBE | optimized geometry
data_AuClF3
_chemical_formula_sum 'Au2 Cl2 F6'
_space_group_name_H-M_alt 'P 1'
_space_group_IT_number 1
_cell_length_a 4.802
_cell_length_b 5.431
_cell_length_c 7.214
_cell_angle_alpha 87.66
_cell_angle_beta 89.99
_cell_angle_gamma 89.97
loop_
_space_group_symop_operation_xyz
'x,y,z'
loop_
_atom_site_label
_atom_site_fract_x
_atom_site_fract_y
_atom_site_fract_z
_atom_site_occupancy
F1 0.986 0.980 0.704 1
F2 0.967 0.544 0.345 1
F3 0.486 0.373 0.198 1
F4 0.857 0.510 0.847 1
F5 0.357 0.843 0.054 1
F6 0.467 0.810 0.557 1
Au1 0.667 0.699 0.200 1
Au2 0.167 0.653 0.701 1
Cl1 0.902 0.057 0.192 1
Cl2 0.402 0.295 0.709 1
# * uncorrected energy: -28.431 eV/cell



(5)
# AuClF | Alexandria via LeMat-Bulk | PBE | optimized geometry
data_AuClF
_chemical_formula_sum 'Au2 Cl2 F2'
_space_group_name_H-M_alt 'P 1'
_space_group_IT_number 1
_cell_length_a 4.698
_cell_length_b 6.271
_cell_length_c 5.766
_cell_angle_alpha 55.83
_cell_angle_beta 87.00
_cell_angle_gamma 87.59
loop_
_space_group_symop_operation_xyz
'x,y,z'
loop_
_atom_site_label
_atom_site_fract_x
_atom_site_fract_y
_atom_site_fract_z
_atom_site_occupancy
Cl1 0.720 0.785 0.018 1
Cl2 0.280 0.215 0.982 1
Au1 0.580 0.928 0.332 1
Au2 0.420 0.072 0.668 1
F1 0.148 0.320 0.386 1
F2 0.852 0.680 0.614 1
# * uncorrected energy: -17.432 eV/cell



(6)
# Au2Cl3F | Alexandria via LeMat-Bulk | PBE | optimized geometry
data_Au2Cl3F
_chemical_formula_sum 'Au4 Cl6 F2'
_space_group_name_H-M_alt 'P 1'
_space_group_IT_number 1
_cell_length_a 8.717
_cell_length_b 6.579
_cell_length_c 6.505
_cell_angle_alpha 73.78
_cell_angle_beta 102.00
_cell_angle_gamma 82.83
loop_
_space_group_symop_operation_xyz
'x,y,z'
loop_
_atom_site_label
_atom_site_fract_x
_atom_site_fract_y
_atom_site_fract_z
_atom_site_occupancy
Au1 0.855 0.841 0.419 1
Au2 0.607 0.468 0.310 1
Au3 0.393 0.532 0.690 1
Au4 0.145 0.159 0.581 1
Cl1 0.393 0.316 0.454 1
Cl2 0.183 0.362 0.826 1
Cl3 0.817 0.638 0.174 1
Cl4 0.607 0.684 0.546 1
Cl5 0.112 0.978 0.317 1
Cl6 0.888 0.022 0.683 1
F1 0.607 0.270 0.124 1
F2 0.393 0.730 0.876 1
# * uncorrected energy: -32.654 eV/cell



(7)
# AuClF3 | Alexandria via LeMat-Bulk | PBE | optimized geometry
data_AuClF3
_chemical_formula_sum 'Au1 Cl1 F3'
_space_group_name_H-M_alt 'P 1'
_space_group_IT_number 1
_cell_length_a 4.301
_cell_length_b 4.301
_cell_length_c 4.301
_cell_angle_alpha 90.00
_cell_angle_beta 90.00
_cell_angle_gamma 90.00
loop_
_space_group_symop_operation_xyz
'x,y,z'
loop_
_atom_site_label
_atom_site_fract_x
_atom_site_fract_y
_atom_site_fract_z
_atom_site_occupancy
F1 0.500 0.000 0.000 1
F2 0.000 0.500 0.000 1
F3 0.000 0.000 0.500 1
Cl1 0.500 0.500 0.500 1
Au1 0.000 0.000 0.000 1
# * uncorrected energy: -12.732 eV/cell



(8)
# AuClF3 | Alexandria via LeMat-Bulk | PBE | optimized geometry
data_AuClF3
_chemical_formula_sum 'Au1 Cl1 F3'
_space_group_name_H-M_alt 'P 1'
_space_group_IT_number 1
_cell_length_a 4.325
_cell_length_b 4.325
_cell_length_c 4.325
_cell_angle_alpha 90.00
_cell_angle_beta 90.00
_cell_angle_gamma 90.00
loop_
_space_group_symop_operation_xyz
'x,y,z'
loop_
_atom_site_label
_atom_site_fract_x
_atom_site_fract_y
_atom_site_fract_z
_atom_site_occupancy
F1 0.000 0.500 0.000 1
F2 0.000 0.000 0.500 1
F3 0.500 0.000 0.000 1
Au1 0.500 0.500 0.500 1
Cl1 0.000 0.000 0.000 1
# * uncorrected energy: -10.482 eV/cell



Calculated formation energy from raw total energies in order - -269 -308 -733 -696 -574 -393 -399 51 meV per atom